## TbInAg2I6 (PBE-GGA)

Data for a relaxed TbInAg2I6 crystal. Values from VASP.

Results
final energy	-2.950	eV per atom
size of the total moment	0.000	μB per formula unit
symmetry	No. 148
formation energy from raw total energies	-0.713	eV per atom
N(E_F)	0.00	states/eV/atom

The structure in Quantum ESPRESSO input format:
```
&SYSTEM
  ibrav = 0, nat = 10, ntyp = 4
/
ATOMIC_SPECIES
Tb 158.93 Tb.upf
In 114.82 In.upf
Ag 107.87 Ag.upf
I 126.90 I.upf
ATOMIC_POSITIONS angstrom
Tb 0.000 0.000 0.000
In 0.000 0.000 11.673
Ag 0.000 0.000 6.243
Ag 0.000 0.000 17.103
I -1.254 -2.501 9.580
I -2.793 -0.165 13.766
I -1.539 2.336 9.580
I 1.539 -2.336 13.766
I 2.793 0.165 9.580
I 1.254 2.501 13.766
CELL_PARAMETERS angstrom
4.016 2.319 7.782
-4.016 2.319 7.782
0.000 -4.638 7.782
```